(1)
VASP calculation (GGA-PBE) on a relaxed structure of Pm4Y2Th3.

a = 3.5874 Å, b = 3.5874 Å, c = 27.0016 Å
α = 90.00°, β = 90.00°, γ = 120.00°
Space group P3m1 (No. 156)
One atom of each set of equivalent atoms:
Pm (0.0000, 0.0000, 0.0000) (multiplicity 1)
Pm (0.0000, 0.0000, 0.2174) (multiplicity 1)
Pm (0.3333, 0.6667, 0.3314) (multiplicity 1)
Pm (0.3333, 0.6667, 0.5508) (multiplicity 1)
Y (0.0000, 0.0000, 0.6604) (multiplicity 1)
Y (0.0000, 0.0000, 0.8752) (multiplicity 1)
Th (0.0000, 0.0000, 0.4406) (multiplicity 1)
Th (0.3333, 0.6667, 0.1074) (multiplicity 1)
Th (0.3333, 0.6667, 0.7700) (multiplicity 1)

The value obtained for the calculated formation energy is 87 meV per atom. Its total DFT energy (no corrections) is -53.411 eV per cell. The calculation puts the energy relative to the lowest polymorph listed for this composition at 38 meV per atom.


(2)
VASP calculation (GGA-PBE) on a relaxed structure of Cd3AsBr.

a = 5.421 Å, b = 5.421 Å, c = 5.421 Å
α = 90.00°, β = 90.00°, γ = 90.00°
Space group Pm-3m (No. 221)
One atom of each set of equivalent atoms:
Cd (0.000, 0.000, 0.500) (multiplicity 3)
As (0.000, 0.000, 0.000) (multiplicity 1)
Br (0.500, 0.500, 0.500) (multiplicity 1)

The formation energy without anion corrections is -0.0753 eV/atom. Its total DFT energy (no corrections) is -9.444 eV per cell. The calculation puts the energy relative to the lowest polymorph listed for this composition at 45 meV per atom.